i:
DFT (PBE) results for a relaxed structure of BeNiSeBr2.

It has space group P4/mmm (No. 123), with a = 4.708 Å, b = 4.708 Å, c = 4.827 Å, α = 90.00°, β = 90.00° and γ = 90.00°. The asymmetric unit holds Be at (0.000, 0.000, 0.000), Ni at (0.500, 0.500, 0.500), Se at (0.000, 0.000, 0.500) and Br at (0.000, 0.500, 0.000).

ii:
DFT (PBE) results for a relaxed structure of BeNiSeBr2.

It has space group P4/mmm (No. 123), with a = 4.793 Å, b = 4.793 Å, c = 4.885 Å, α = 90.00°, β = 90.00° and γ = 90.00°. The asymmetric unit holds Be at (0.000, 0.000, 0.000), Ni at (0.500, 0.500, 0.500), Se at (0.500, 0.500, 0.000) and Br at (0.000, 0.500, 0.500).

Most stable: i

i:
DFT (PBE) results for a relaxed structure of BeNiSe2Br.

It has space group P4/mmm (No. 123), with a = 4.701 Å, b = 4.701 Å, c = 4.847 Å, α = 90.00°, β = 90.00° and γ = 90.00°. The asymmetric unit holds Be at (0.000, 0.000, 0.000), Ni at (0.500, 0.500, 0.500), Se at (0.000, 0.500, 0.500) and Br at (0.500, 0.500, 0.000).

ii:
DFT (PBE) results for a relaxed structure of BeNiSe2Br.

It has space group P4/mmm (No. 123), with a = 4.226 Å, b = 4.226 Å, c = 6.783 Å, α = 90.00°, β = 90.00° and γ = 90.00°. The asymmetric unit holds Be at (0.000, 0.000, 0.000), Ni at (0.500, 0.500, 0.500), Se at (0.000, 0.500, 0.000) and Br at (0.000, 0.000, 0.500).

Most stable: ii

i:
DFT (PBE) results for a relaxed structure of BeBrO2.

It has space group Fm-3m (No. 225), with a = 5.601 Å, b = 5.601 Å, c = 5.601 Å, α = 90.00°, β = 90.00° and γ = 90.00°. The asymmetric unit holds Be at (0.000, 0.000, 0.000), Br at (0.000, 0.000, 0.500) and O at (0.250, 0.250, 0.250).

ii:
DFT (PBE) results for a relaxed structure of BeBrO2.

It has space group R-3m (No. 166, hexagonal axes), with a = 2.8598 Å, b = 2.8598 Å, c = 17.1951 Å, α = 90.00°, β = 90.00° and γ = 120.00°. The asymmetric unit holds Be at (0.0000, 0.0000, 0.0000), Br at (0.0000, 0.0000, 0.5000) and O at (0.0000, 0.0000, 0.3866).

iii:
DFT (PBE) results for a relaxed structure of BeBrO2.

It has space group R-3m (No. 166, hexagonal axes), with a = 3.0525 Å, b = 3.0525 Å, c = 19.1535 Å, α = 90.00°, β = 90.00° and γ = 120.00°. The asymmetric unit holds Be at (0.0000, 0.0000, 0.0000), Br at (0.0000, 0.0000, 0.5000) and O at (0.0000, 0.0000, 0.0754).

Most stable: ii